DFT (PBE-GGA) results for a relaxed LiYFeMo crystal.

## Properties
The total moment is 16.5 μB per cell. As for the energy above the most stable polymorph in this dataset: 404 meV per atom. The space group is F-43m, No. 216.

Cell lengths 6.5349, 6.5349, 6.5349 Å; angles 90.00, 90.00, 90.00 degrees
Closest atoms and distances in Å follow each position.
Sites, in units of the cell vectors:
Li 0.0000 0.0000 0.0000  4 Mo 2.83, 4 Fe 2.83
Li 0.0000 0.5000 0.5000  4 Mo 2.83, 4 Fe 2.83
Li 0.5000 0.0000 0.5000  4 Mo 2.83, 4 Fe 2.83
Li 0.5000 0.5000 0.0000  4 Mo 2.83, 4 Fe 2.83
Y 0.0000 0.0000 0.5000  4 Fe 2.83, 4 Mo 2.83
Y 0.0000 0.5000 0.0000  4 Fe 2.83, 4 Mo 2.83
Y 0.5000 0.0000 0.0000  4 Fe 2.83, 4 Mo 2.83
Y 0.5000 0.5000 0.5000  4 Fe 2.83, 4 Mo 2.83
Fe 0.2500 0.2500 0.2500  4 Li 2.83, 4 Y 2.83
Fe 0.2500 0.7500 0.7500  4 Li 2.83, 4 Y 2.83
Fe 0.7500 0.2500 0.7500  4 Li 2.83, 4 Y 2.83
Fe 0.7500 0.7500 0.2500  4 Li 2.83, 4 Y 2.83
Mo 0.2500 0.2500 0.7500  4 Li 2.83, 4 Y 2.83
Mo 0.2500 0.7500 0.2500  4 Y 2.83, 4 Li 2.83
Mo 0.7500 0.2500 0.2500  4 Y 2.83, 4 Li 2.83
Mo 0.7500 0.7500 0.7500  4 Li 2.83, 4 Y 2.83



DFT (PBE-GGA) results for a relaxed LiYFeMo crystal.

## Properties
The total moment is 0.0 μB per cell. As for the energy above the most stable polymorph in this dataset: 92 meV per atom. The space group is F-43m, No. 216.

Cell lengths 6.3294, 6.3294, 6.3294 Å; angles 90.00, 90.00, 90.00 degrees
Closest atoms and distances in Å follow each position.
Sites, in units of the cell vectors:
Li 0.0000 0.0000 0.0000  4 Fe 2.74, 4 Y 2.74
Li 0.0000 0.5000 0.5000  4 Fe 2.74, 4 Y 2.74
Li 0.5000 0.0000 0.5000  4 Fe 2.74, 4 Y 2.74
Li 0.5000 0.5000 0.0000  4 Fe 2.74, 4 Y 2.74
Y 0.2500 0.2500 0.2500  4 Mo 2.74, 4 Li 2.74
Y 0.2500 0.7500 0.7500  4 Mo 2.74, 4 Li 2.74
Y 0.7500 0.2500 0.7500  4 Mo 2.74, 4 Li 2.74
Y 0.7500 0.7500 0.2500  4 Mo 2.74, 4 Li 2.74
Fe 0.2500 0.2500 0.7500  4 Mo 2.74, 4 Li 2.74
Fe 0.2500 0.7500 0.2500  4 Mo 2.74, 4 Li 2.74
Fe 0.7500 0.2500 0.2500  4 Mo 2.74, 4 Li 2.74
Fe 0.7500 0.7500 0.7500  4 Mo 2.74, 4 Li 2.74
Mo 0.0000 0.0000 0.5000  4 Fe 2.74, 4 Y 2.74
Mo 0.0000 0.5000 0.0000  4 Fe 2.74, 4 Y 2.74
Mo 0.5000 0.0000 0.0000  4 Fe 2.74, 4 Y 2.74
Mo 0.5000 0.5000 0.5000  4 Fe 2.74, 4 Y 2.74



DFT (PBE-GGA) results for a relaxed LiYFeMo crystal.

## Properties
The total moment is 0.0 μB per cell. As for the energy above the most stable polymorph in this dataset: 0 meV per atom. The space group is F-43m, No. 216.

Cell lengths 6.3563, 6.3563, 6.3563 Å; angles 90.00, 90.00, 90.00 degrees
Closest atoms and distances in Å follow each position.
Sites, in units of the cell vectors:
Li 0.0000 0.0000 0.0000  4 Mo 2.75, 4 Y 2.75
Li 0.0000 0.5000 0.5000  4 Mo 2.75, 4 Y 2.75
Li 0.5000 0.0000 0.5000  4 Mo 2.75, 4 Y 2.75
Li 0.5000 0.5000 0.0000  4 Mo 2.75, 4 Y 2.75
Y 0.2500 0.2500 0.2500  4 Li 2.75, 4 Fe 2.75
Y 0.2500 0.7500 0.7500  4 Li 2.75, 4 Fe 2.75
Y 0.7500 0.2500 0.7500  4 Li 2.75, 4 Fe 2.75
Y 0.7500 0.7500 0.2500  4 Li 2.75, 4 Fe 2.75
Fe 0.0000 0.0000 0.5000  4 Y 2.75, 4 Mo 2.75
Fe 0.0000 0.5000 0.0000  4 Y 2.75, 4 Mo 2.75
Fe 0.5000 0.0000 0.0000  4 Y 2.75, 4 Mo 2.75
Fe 0.5000 0.5000 0.5000  4 Y 2.75, 4 Mo 2.75
Mo 0.2500 0.2500 0.7500  4 Fe 2.75, 4 Li 2.75
Mo 0.2500 0.7500 0.2500  4 Fe 2.75, 4 Li 2.75
Mo 0.7500 0.2500 0.2500  4 Fe 2.75, 4 Li 2.75
Mo 0.7500 0.7500 0.7500  4 Fe 2.75, 4 Li 2.75



DFT (PBE-GGA) results for a relaxed LiZnFeMo crystal.

## Properties
The total moment is 10.3 μB per cell. As for the energy above the most stable polymorph in this dataset: 382 meV per atom. The space group is F-43m, No. 216.

Cell lengths 5.9747, 5.9747, 5.9747 Å; angles 90.00, 90.00, 90.00 degrees
Closest atoms and distances in Å follow each position.
Sites, in units of the cell vectors:
Li 0.0000 0.0000 0.0000  4 Fe 2.59, 4 Mo 2.59
Li 0.0000 0.5000 0.5000  4 Mo 2.59, 4 Fe 2.59
Li 0.5000 0.0000 0.5000  4 Mo 2.59, 4 Fe 2.59
Li 0.5000 0.5000 0.0000  4 Mo 2.59, 4 Fe 2.59
Zn 0.0000 0.0000 0.5000  4 Mo 2.59, 4 Fe 2.59
Zn 0.0000 0.5000 0.0000  4 Mo 2.59, 4 Fe 2.59
Zn 0.5000 0.0000 0.0000  4 Mo 2.59, 4 Fe 2.59
Zn 0.5000 0.5000 0.5000  4 Mo 2.59, 4 Fe 2.59
Fe 0.2500 0.2500 0.7500  4 Li 2.59, 4 Zn 2.59
Fe 0.2500 0.7500 0.2500  4 Li 2.59, 4 Zn 2.59
Fe 0.7500 0.2500 0.2500  4 Li 2.59, 4 Zn 2.59
Fe 0.7500 0.7500 0.7500  4 Li 2.59, 4 Zn 2.59
Mo 0.2500 0.2500 0.2500  4 Li 2.59, 4 Zn 2.59
Mo 0.2500 0.7500 0.7500  4 Zn 2.59, 4 Li 2.59
Mo 0.7500 0.2500 0.7500  4 Zn 2.59, 4 Li 2.59
Mo 0.7500 0.7500 0.2500  4 Zn 2.59, 4 Li 2.59



DFT (PBE-GGA) results for a relaxed LiZnFeMo crystal.

## Properties
The total moment is 3.1 μB per cell. As for the energy above the most stable polymorph in this dataset: 0 meV per atom. The space group is F-43m, No. 216.

Cell lengths 5.8416, 5.8416, 5.8416 Å; angles 90.00, 90.00, 90.00 degrees
Closest atoms and distances in Å follow each position.
Sites, in units of the cell vectors:
Li 0.0000 0.0000 0.0000  4 Mo 2.53, 4 Zn 2.53
Li 0.0000 0.5000 0.5000  4 Mo 2.53, 4 Zn 2.53
Li 0.5000 0.0000 0.5000  4 Mo 2.53, 4 Zn 2.53
Li 0.5000 0.5000 0.0000  4 Mo 2.53, 4 Zn 2.53
Zn 0.2500 0.2500 0.2500  4 Fe 2.53, 4 Li 2.53
Zn 0.2500 0.7500 0.7500  4 Fe 2.53, 4 Li 2.53
Zn 0.7500 0.2500 0.7500  4 Fe 2.53, 4 Li 2.53
Zn 0.7500 0.7500 0.2500  4 Fe 2.53, 4 Li 2.53
Fe 0.0000 0.0000 0.5000  4 Mo 2.53, 4 Zn 2.53
Fe 0.0000 0.5000 0.0000  4 Mo 2.53, 4 Zn 2.53
Fe 0.5000 0.0000 0.0000  4 Mo 2.53, 4 Zn 2.53
Fe 0.5000 0.5000 0.5000  4 Mo 2.53, 4 Zn 2.53
Mo 0.2500 0.2500 0.7500  4 Fe 2.53, 4 Li 2.53
Mo 0.2500 0.7500 0.2500  4 Fe 2.53, 4 Li 2.53
Mo 0.7500 0.2500 0.2500  4 Fe 2.53, 4 Li 2.53
Mo 0.7500 0.7500 0.7500  4 Fe 2.53, 4 Li 2.53



DFT (PBE-GGA) results for a relaxed LiFeN crystal.

## Properties
The total moment is 0.0 μB per cell. The space group is Pmn2_1, No. 31.

Cell lengths 2.8699, 4.6150, 4.3078 Å; angles 90.00, 90.00, 90.00 degrees
Closest atoms and distances in Å follow each position.
Sites, in units of the cell vectors:
Li 0.0000 0.0062 0.0000  3 N 2.00-2.04
Li 0.5000 0.9938 0.5000  3 N 2.00-2.04
Fe 0.0000 0.4775 0.6786  3 N 1.81-1.83
Fe 0.5000 0.5225 0.1786  3 N 1.81-1.83
N 0.0000 0.7141 0.3443  3 Fe 1.81-1.83, 1 Li 2.00
N 0.5000 0.2859 0.8443  3 Fe 1.81-1.83, 1 Li 2.00



DFT (PBE-GGA) results for a relaxed LiFeN crystal.

## Properties
The total moment is 5.0 μB per cell. The space group is R3m, No. 160.

Cell lengths 10.8436, 10.8436, 10.8436 Å; angles 13.88, 13.88, 13.88 degrees
Closest atoms and distances in Å follow each position.
Sites, in units of the cell vectors:
Li 0.0000 0.0000 0.0000  3 N 2.04
Li 0.1213 0.1213 0.1213  3 N 2.04
Fe 0.5935 0.5935 0.5935  9 Fe 2.60-2.62, 3 Li 2.80
Fe 0.8612 0.8612 0.8612  9 Fe 2.60-2.62, 3 Li 2.80
N 0.3758 0.3758 0.3758  1 N 1.17
N 0.4122 0.4122 0.4122  1 N 1.17



DFT (PBE-GGA) results for a relaxed LiFe2Pb2N3 crystal.

## Properties
The total moment is 3.6 μB per cell. The space group is C2/c, No. 15.

Cell lengths 6.4851, 6.4851, 6.8571 Å; angles 91.37, 91.37, 121.93 degrees
Closest atoms and distances in Å follow each position.
Sites, in units of the cell vectors:
Li 0.1664 0.8336 0.7500  2 N 2.00
Li 0.8336 0.1664 0.2500  2 N 2.00
Fe 0.1854 0.5793 0.4167  3 N 1.75-1.83
Fe 0.4207 0.8146 0.0833  3 N 1.75-1.83
Fe 0.5793 0.1854 0.9167  3 N 1.75-1.83
Fe 0.8146 0.4207 0.5833  3 N 1.75-1.83
Pb 0.1633 0.3348 0.8662  3 N 2.55-2.80
Pb 0.3348 0.1633 0.3662  3 N 2.55-2.80
Pb 0.6652 0.8367 0.6338  3 N 2.55-2.80
Pb 0.8367 0.6652 0.1338  3 N 2.55-2.80
N 0.0100 0.7155 0.4818  2 Fe 1.81-1.83, 1 Li 2.00
N 0.2845 0.9900 0.0182  2 Fe 1.81-1.83, 1 Li 2.00
N 0.3965 0.6035 0.2500  2 Fe 1.75
N 0.6035 0.3965 0.7500  2 Fe 1.75
N 0.7155 0.0100 0.9818  2 Fe 1.81-1.83, 1 Li 2.00
N 0.9900 0.2845 0.5182  2 Fe 1.81-1.83, 1 Li 2.00



DFT (PBE-GGA) results for a relaxed Sr3Li3Fe4N4 crystal.

## Properties
The total moment is 3.9 μB per cell. The space group is Immm, No. 71.

Cell lengths 9.3398, 9.3398, 9.3398 Å; angles 155.26, 135.65, 51.44 degrees
Closest atoms and distances in Å follow each position.
Sites, in units of the cell vectors:
Sr 0.0000 0.0000 0.0000  4 N 2.79
Sr 0.2214 0.2214 0.0000  3 N 2.67-2.68
Sr 0.7786 0.7786 0.0000  3 N 2.67-2.68
Li 0.3856 0.8856 0.5000  2 N 2.00
Li 0.5000 0.5000 0.0000  2 N 2.02
Li 0.6144 0.1144 0.5000  2 N 2.00
Fe 0.1318 0.3829 0.7489  2 N 1.75-1.77
Fe 0.3660 0.6171 0.7489  2 N 1.75-1.77
Fe 0.6340 0.3829 0.2511  2 N 1.75-1.77
Fe 0.8682 0.6171 0.2511  2 N 1.75-1.77
N 0.1153 0.6153 0.5000  2 Fe 1.75
N 0.3802 0.3802 0.0000  2 Fe 1.77
N 0.6198 0.6198 0.0000  2 Fe 1.77
N 0.8847 0.3847 0.5000  2 Fe 1.75



DFT (PBE-GGA) results for a relaxed NaLiFeOs crystal.

## Properties
The total moment is 17.5 μB per cell. As for the energy above the most stable polymorph in this dataset: 457 meV per atom. The space group is F-43m, No. 216.

Cell lengths 6.1887, 6.1887, 6.1887 Å; angles 90.00, 90.00, 90.00 degrees
Closest atoms and distances in Å follow each position.
Sites, in units of the cell vectors:
Na 0.0000 0.0000 0.0000  4 Fe 2.68, 4 Os 2.68
Na 0.0000 0.5000 0.5000  4 Fe 2.68, 4 Os 2.68
Na 0.5000 0.0000 0.5000  4 Fe 2.68, 4 Os 2.68
Na 0.5000 0.5000 0.0000  4 Fe 2.68, 4 Os 2.68
Li 0.0000 0.0000 0.5000  4 Os 2.68, 4 Fe 2.68
Li 0.0000 0.5000 0.0000  4 Os 2.68, 4 Fe 2.68
Li 0.5000 0.0000 0.0000  4 Os 2.68, 4 Fe 2.68
Li 0.5000 0.5000 0.5000  4 Os 2.68, 4 Fe 2.68
Fe 0.2500 0.2500 0.2500  4 Li 2.68, 4 Na 2.68
Fe 0.2500 0.7500 0.7500  4 Li 2.68, 4 Na 2.68
Fe 0.7500 0.2500 0.7500  4 Li 2.68, 4 Na 2.68
Fe 0.7500 0.7500 0.2500  4 Li 2.68, 4 Na 2.68
Os 0.2500 0.2500 0.7500  4 Na 2.68, 4 Li 2.68
Os 0.2500 0.7500 0.2500  4 Na 2.68, 4 Li 2.68
Os 0.7500 0.2500 0.2500  4 Na 2.68, 4 Li 2.68
Os 0.7500 0.7500 0.7500  4 Na 2.68, 4 Li 2.68



DFT (PBE-GGA) results for a relaxed NaLiFeOs crystal.

## Properties
The total moment is 0.1 μB per cell. As for the energy above the most stable polymorph in this dataset: 42 meV per atom. The space group is F-43m, No. 216.

Cell lengths 5.9610, 5.9610, 5.9610 Å; angles 90.00, 90.00, 90.00 degrees
Closest atoms and distances in Å follow each position.
Sites, in units of the cell vectors:
Na 0.0000 0.0000 0.0000  4 Li 2.58, 4 Os 2.58
Na 0.0000 0.5000 0.5000  4 Li 2.58, 4 Os 2.58
Na 0.5000 0.0000 0.5000  4 Li 2.58, 4 Os 2.58
Na 0.5000 0.5000 0.0000  4 Li 2.58, 4 Os 2.58
Li 0.2500 0.2500 0.2500  4 Fe 2.58, 4 Na 2.58
Li 0.2500 0.7500 0.7500  4 Fe 2.58, 4 Na 2.58
Li 0.7500 0.2500 0.7500  4 Fe 2.58, 4 Na 2.58
Li 0.7500 0.7500 0.2500  4 Fe 2.58, 4 Na 2.58
Fe 0.0000 0.0000 0.5000  4 Li 2.58, 4 Os 2.58
Fe 0.0000 0.5000 0.0000  4 Li 2.58, 4 Os 2.58
Fe 0.5000 0.0000 0.0000  4 Li 2.58, 4 Os 2.58
Fe 0.5000 0.5000 0.5000  4 Li 2.58, 4 Os 2.58
Os 0.2500 0.2500 0.7500  4 Fe 2.58, 4 Na 2.58
Os 0.2500 0.7500 0.2500  4 Fe 2.58, 4 Na 2.58
Os 0.7500 0.2500 0.2500  4 Fe 2.58, 4 Na 2.58
Os 0.7500 0.7500 0.7500  4 Fe 2.58, 4 Na 2.58



DFT (PBE-GGA) results for a relaxed NaLiFeOs crystal.

## Properties
The total moment is 0.0 μB per cell. As for the energy above the most stable polymorph in this dataset: 0 meV per atom. The space group is F-43m, No. 216.

Cell lengths 5.9509, 5.9509, 5.9509 Å; angles 90.00, 90.00, 90.00 degrees
Closest atoms and distances in Å follow each position.
Sites, in units of the cell vectors:
Na 0.0000 0.0000 0.0000  4 Fe 2.58, 4 Li 2.58
Na 0.0000 0.5000 0.5000  4 Fe 2.58, 4 Li 2.58
Na 0.5000 0.0000 0.5000  4 Fe 2.58, 4 Li 2.58
Na 0.5000 0.5000 0.0000  4 Fe 2.58, 4 Li 2.58
Li 0.2500 0.2500 0.2500  4 Na 2.58, 4 Os 2.58
Li 0.2500 0.7500 0.7500  4 Na 2.58, 4 Os 2.58
Li 0.7500 0.2500 0.7500  4 Na 2.58, 4 Os 2.58
Li 0.7500 0.7500 0.2500  4 Na 2.58, 4 Os 2.58
Fe 0.2500 0.2500 0.7500  4 Na 2.58, 4 Os 2.58
Fe 0.2500 0.7500 0.2500  4 Na 2.58, 4 Os 2.58
Fe 0.7500 0.2500 0.2500  4 Na 2.58, 4 Os 2.58
Fe 0.7500 0.7500 0.7500  4 Os 2.58, 4 Na 2.58
Os 0.0000 0.0000 0.5000  4 Fe 2.58, 4 Li 2.58
Os 0.0000 0.5000 0.0000  4 Fe 2.58, 4 Li 2.58
Os 0.5000 0.0000 0.0000  4 Fe 2.58, 4 Li 2.58
Os 0.5000 0.5000 0.5000  4 Fe 2.58, 4 Li 2.58



Number 1: DFT total energy -6.097 eV/atom. Number 2: DFT total energy -6.409 eV/atom. Number 3: DFT total energy -6.501 eV/atom. Number 4: DFT total energy -5.087 eV/atom. Number 5: DFT total energy -5.468 eV/atom. Number 6: DFT total energy -6.537 eV/atom. Number 7: DFT total energy -6.124 eV/atom. Number 8: DFT total energy -6.169 eV/atom. Number 9: DFT total energy -5.844 eV/atom. Number 10: DFT total energy -4.513 eV/atom. Number 11: DFT total energy -4.928 eV/atom. Number 12: DFT total energy -4.970 eV/atom.